Density functional theory data (GGA-PBE) for a relaxed structure of ScPaMnNb.

Volume   299.9 Å³ per cell
Formation energy from the elements   110 meV/atom
Size of the total moment   0.226 μB per atom

Cell: 6.693 6.693 6.693 Å, 90.00 90.00 90.00°
Space group F-43m (No. 216)
Symmetry-distinct sites (fractional):
Sc 0.000 0.000 0.000 (multiplicity 4)
Pa 0.000 0.000 0.500 (multiplicity 4)
Mn 0.250 0.250 0.750 (multiplicity 4)
Nb 0.250 0.250 0.250 (multiplicity 4)